No. 1
Entry from OQMD: a geometry-optimized NdGa3 structure (PBE-GGA).

Calculated values
The value obtained for the energy above the most stable polymorph in this dataset is 0.000 eV per atom. Its space group is P2_1/m. As for the crystal system: monoclinic.

Cell: 6.4927 4.5491 6.4983 Å, 90.00 119.90 90.00°
Closest atoms and distances in Å follow each position.
Sites, in units of the cell vectors:
Nd  0.1666  0.2500  0.3339  12 Ga 3.12-3.27
Nd  0.8334  0.7500  0.6661  12 Ga 3.12-3.27
Ga  0.2128  0.2500  0.8584  6 Ga 2.78-2.80
Ga  0.3574  0.7500  0.7118  6 Ga 2.78-2.80, 2 Nd 3.12
Ga  0.3576  0.7500  0.1414  6 Ga 2.78-2.79
Ga  0.6424  0.2500  0.8586  6 Ga 2.78-2.79
Ga  0.6426  0.2500  0.2882  6 Ga 2.78-2.80, 2 Nd 3.12
Ga  0.7872  0.7500  0.1416  6 Ga 2.78-2.80

No. 2
Entry from OQMD: a geometry-optimized NdGa3 structure (PBE-GGA).

Calculated values
The value obtained for the energy above the most stable polymorph in this dataset is 0.000 eV per atom. Its space group is Cmcm. As for the crystal system: orthorhombic.

Cell: 6.4953 6.4953 4.5449 Å, 90.00 90.00 120.07°
Closest atoms and distances in Å follow each position.
Sites, in units of the cell vectors:
Nd  0.1669  0.8331  0.7500  12 Ga 3.12-3.26
Nd  0.8331  0.1669  0.2500  12 Ga 3.12-3.26
Ga  0.2137  0.3563  0.7500  6 Ga 2.78-2.79
Ga  0.3563  0.2137  0.2500  6 Ga 2.78-2.79
Ga  0.3564  0.6436  0.2500  6 Ga 2.79, 2 Nd 3.12
Ga  0.6436  0.3564  0.7500  6 Ga 2.79, 2 Nd 3.12
Ga  0.6437  0.7863  0.7500  6 Ga 2.78-2.79
Ga  0.7863  0.6437  0.2500  6 Ga 2.78-2.79

No. 3
Entry from OQMD: a geometry-optimized Nd2Ga structure (PBE-GGA).

Calculated values
Its total energy is -2.998 eV/atom. Its space group is Fd-3m. As for the crystal system: cubic.

Cell: 9.0919 9.0919 9.0919 Å, 60.00 60.00 60.00°
Closest atoms and distances in Å follow each position.
Sites, in units of the cell vectors:
Nd  0.0000  0.0000  0.0000  2 Ga 2.78
Nd  0.0000  0.0000  0.5000  2 Ga 2.78
Nd  0.0000  0.5000  0.0000  2 Ga 2.78
Nd  0.5000  0.0000  0.0000  2 Ga 2.78
Ga  0.1250  0.1250  0.1250  4 Nd 2.78
Ga  0.8750  0.8750  0.8750  4 Nd 2.78

No. 4
Entry from OQMD: a geometry-optimized Nd2GaNi2 structure (PBE-GGA).

Calculated values
Its total energy is -5.214 eV/atom. Its space group is Immm. As for the crystal system: orthorhombic.

Cell: 5.5213 5.5213 5.5213 Å, 134.39 120.82 77.77°
Closest atoms and distances in Å follow each position.
Sites, in units of the cell vectors:
Nd  0.2014  0.2014  0.0000  6 Ni 2.94-3.04, 2 Ga 3.23
Nd  0.7986  0.7986  0.0000  6 Ni 2.94-3.04, 2 Ga 3.23
Ga  0.5000  0.0000  0.5000  4 Ni 2.58
Ni  0.2358  0.5000  0.7358  1 Ni 2.57, 2 Ga 2.58
Ni  0.7642  0.5000  0.2642  1 Ni 2.57, 2 Ga 2.58

No. 5
Entry from OQMD: a geometry-optimized Nd2Ga12Ni structure (PBE-GGA).

Calculated values
Its total energy is -3.834 eV/atom. Its space group is P4/nbm. As for the crystal system: tetragonal.

Cell: 6.0426 6.0426 15.5238 Å, 90.00 90.00 90.00°
Closest atoms and distances in Å follow each position.
Sites, in units of the cell vectors:
Nd  0.2500  0.7500  0.2445  14 Ga 3.17-3.37
Nd  0.2500  0.7500  0.7555  14 Ga 3.17-3.37
Nd  0.7500  0.2500  0.2445  14 Ga 3.17-3.37
Nd  0.7500  0.2500  0.7555  14 Ga 3.17-3.37
Ga  0.0003  0.9997  0.0838  2 Ni 2.50, 3 Ga 2.60-2.63
Ga  0.9997  0.0003  0.9162  2 Ni 2.50, 3 Ga 2.60-2.63
Ga  0.9997  0.4997  0.0838  2 Ni 2.50, 3 Ga 2.60-2.63
Ga  0.0003  0.5003  0.9162  2 Ni 2.50, 3 Ga 2.60-2.63
Ga  0.0737  0.5737  0.4284  3 Ga 2.56-2.61
Ga  0.0737  0.9263  0.5716  3 Ga 2.56-2.61
Ga  0.2500  0.2500  0.1823  5 Ga 2.45-2.63
Ga  0.2500  0.2500  0.3401  5 Ga 2.45-2.61
Ga  0.2500  0.2500  0.6599  5 Ga 2.45-2.61
Ga  0.2500  0.2500  0.8177  5 Ga 2.45-2.63
Ga  0.4263  0.5737  0.5716  3 Ga 2.56-2.61
Ga  0.4263  0.9263  0.4284  3 Ga 2.56-2.61
Ga  0.5003  0.0003  0.0838  2 Ni 2.50, 3 Ga 2.60-2.63
Ga  0.4997  0.9997  0.9162  2 Ni 2.50, 3 Ga 2.60-2.63
Ga  0.4997  0.5003  0.0838  2 Ni 2.50, 3 Ga 2.60-2.63
Ga  0.5003  0.4997  0.9162  2 Ni 2.50, 3 Ga 2.60-2.63
Ga  0.5737  0.0737  0.5716  3 Ga 2.56-2.61
Ga  0.5737  0.4263  0.4284  3 Ga 2.56-2.61
Ga  0.7500  0.7500  0.1823  5 Ga 2.45-2.63
Ga  0.7500  0.7500  0.3401  5 Ga 2.45-2.61
Ga  0.7500  0.7500  0.6599  5 Ga 2.45-2.61
Ga  0.7500  0.7500  0.8177  5 Ga 2.45-2.63
Ga  0.9263  0.0737  0.4284  3 Ga 2.56-2.61
Ga  0.9263  0.4263  0.5716  3 Ga 2.56-2.61
Ni  0.2500  0.7500  0.0000  8 Ga 2.50
Ni  0.7500  0.2500  0.0000  8 Ga 2.50

No. 6
Entry from OQMD: a geometry-optimized Nd2GaNi structure (PBE-GGA).

Calculated values
Its total energy is -4.946 eV/atom. Its space group is Amm2. As for the crystal system: orthorhombic.

Cell: 4.3727 5.9735 5.9735 Å, 38.27 90.00 90.00°
Closest atoms and distances in Å follow each position.
Sites, in units of the cell vectors:
Nd  0.0000  0.0000  0.0000  3 Ni 3.03-3.34, 4 Ga 3.05
Nd  0.5000  0.2816  0.2816  3 Ga 3.05-3.30, 4 Ni 3.06
Ga  0.5000  0.5743  0.5743  2 Ni 2.63
Ni  0.0000  0.7045  0.7045  2 Ga 2.63

No. 7
Entry from OQMD: a geometry-optimized NdGa2NiPd structure (PBE-GGA).

Calculated values
Its total energy is -5.015 eV/atom. Its space group is P4/nmm. As for the crystal system: tetragonal.

Cell: 4.2149 4.2149 10.2035 Å, 90.00 90.00 90.00°
Closest atoms and distances in Å follow each position.
Sites, in units of the cell vectors:
Nd  0.2500  0.2500  0.2378  4 Ni 3.20, 8 Ga 3.21, 4 Pd 3.41
Nd  0.7500  0.7500  0.7622  4 Ni 3.20, 8 Ga 3.21, 4 Pd 3.41
Ga  0.2500  0.2500  0.6450  1 Ni 2.37, 4 Pd 2.57
Ga  0.2500  0.7500  0.0000  4 Ni 2.45
Ga  0.7500  0.2500  0.0000  4 Ni 2.45
Ga  0.7500  0.7500  0.3550  1 Ni 2.37, 4 Pd 2.57
Ni  0.2500  0.2500  0.8770  5 Ga 2.37-2.45
Ni  0.7500  0.7500  0.1230  5 Ga 2.37-2.45
Pd  0.2500  0.7500  0.5000  4 Ga 2.57
Pd  0.7500  0.2500  0.5000  4 Ga 2.57

No. 8
Entry from OQMD: a geometry-optimized PrNdGa4Ni2 structure (PBE-GGA).

Calculated values
Its total energy is -4.729 eV/atom. Its space group is Amm2. As for the crystal system: orthorhombic.

Cell: 4.1558 9.0426 9.0426 Å, 26.88 90.00 90.00°
Closest atoms and distances in Å follow each position.
Sites, in units of the cell vectors:
Pr  0.0000  0.0000  0.0000  10 Ga 3.19-3.35, 4 Ni 3.19
Nd  0.0000  0.7169  0.7169  10 Ga 3.19-3.34, 4 Ni 3.19
Ga  0.0000  0.3581  0.3581  4 Ni 2.45
Ga  0.5000  0.1493  0.1493  1 Ni 2.38, 2 Ga 2.54
Ga  0.5000  0.5681  0.5681  1 Ni 2.40, 2 Ga 2.54
Ga  0.5000  0.8581  0.8581  4 Ni 2.47
Ni  0.5000  0.2848  0.2848  5 Ga 2.38-2.47, 1 Ni 2.59
Ni  0.5000  0.4318  0.4318  5 Ga 2.40-2.47, 1 Ni 2.59

No. 9
Entry from OQMD: a geometry-optimized Pr2NdGa2Ni4 structure (PBE-GGA).

Calculated values
Its total energy is -5.225 eV/atom. Its space group is C2/m. As for the crystal system: monoclinic.

Cell: 5.4983 5.4983 8.3000 Å, 98.32 98.32 44.67°
Closest atoms and distances in Å follow each position.
Sites, in units of the cell vectors:
Pr  0.1240  0.1240  0.3791  6 Ni 2.86-3.06, 1 Ga 3.15
Pr  0.8760  0.8760  0.6209  6 Ni 2.86-3.06, 1 Ga 3.15
Nd  0.5000  0.5000  0.0000  6 Ni 2.86-3.19
Ga  0.1776  0.1776  0.7840  5 Ni 2.45-2.54
Ga  0.8224  0.8224  0.2160  5 Ni 2.45-2.54
Ni  0.2381  0.2381  0.0850  3 Ga 2.45-2.48, 3 Ni 2.55-2.71
Ni  0.4166  0.4166  0.3641  2 Ga 2.54, 2 Ni 2.60-2.71
Ni  0.5834  0.5834  0.6359  2 Ga 2.54, 2 Ni 2.60-2.71
Ni  0.7619  0.7619  0.9150  3 Ga 2.45-2.48, 3 Ni 2.55-2.71

No. 10
Entry from OQMD: a geometry-optimized PrNdGaNi2 structure (PBE-GGA).

Calculated values
The value obtained for the energy above the most stable polymorph in this dataset is 0.014 eV per atom. Its space group is Amm2. As for the crystal system: orthorhombic.

Cell: 3.8223 7.1955 7.1955 Å, 31.97 90.00 90.00°
Closest atoms and distances in Å follow each position.
Sites, in units of the cell vectors:
Pr  0.0000  0.0000  0.0000  6 Ni 2.92-3.07
Nd  0.0000  0.2589  0.2589  6 Ni 2.91-3.05
Ga  0.5000  0.6305  0.6305  2 Ni 2.71-2.77
Ni  0.5000  0.4303  0.4303  2 Ni 2.45
Ni  0.5000  0.8262  0.8262  2 Ni 2.45, 1 Ga 2.71

No. 11
Entry from OQMD: a geometry-optimized PrNd2Ga3Ni3 structure (PBE-GGA).

Calculated values
Its total energy is -5.000 eV/atom. Its space group is Amm2. As for the crystal system: orthorhombic.

Cell: 3.9171 7.1723 7.1723 Å, 119.91 90.00 90.00°
Closest atoms and distances in Å follow each position.
Sites, in units of the cell vectors:
Pr  0.0000  0.0000  0.0000  5 Ni 2.92-2.99, 6 Ga 3.18-3.26
Nd  0.0000  0.1671  0.5832  5 Ni 2.91-2.98, 6 Ga 3.17-3.25
Nd  0.0000  0.5832  0.1671  5 Ni 2.91-2.98, 6 Ga 3.17-3.25
Ga  0.5000  0.3483  0.3483  4 Ni 2.58-2.82
Ga  0.5000  0.5815  0.8195  4 Ni 2.59-2.82
Ga  0.5000  0.8195  0.5815  4 Ni 2.59-2.82
Ni  0.0000  0.5830  0.5830  6 Ga 2.58-2.59
Ni  0.5000  0.2516  0.9160  3 Ga 2.78-2.82, 4 Nd 2.91, 2 Pr 2.92
Ni  0.5000  0.9160  0.2516  3 Ga 2.78-2.82, 4 Nd 2.91, 2 Pr 2.92

No. 12
Entry from OQMD: a geometry-optimized PrNdGaNi2 structure (PBE-GGA).

Calculated values
The value obtained for the energy above the most stable polymorph in this dataset is 0.000 eV per atom. Its space group is Imm2. As for the crystal system: orthorhombic.

Cell: 5.5203 5.5203 5.5203 Å, 134.19 120.39 78.29°
Closest atoms and distances in Å follow each position.
Sites, in units of the cell vectors:
Pr  0.0000  0.0000  0.0000  6 Ni 2.93-3.05, 2 Ga 3.25
Nd  0.4055  0.4055  0.0000  6 Ni 2.94-3.04, 2 Ga 3.25
Ga  0.7028  0.2028  0.5000  4 Ni 2.60
Ni  0.4363  0.7029  0.7334  1 Ni 2.56, 2 Ga 2.60
Ni  0.9695  0.7029  0.2666  1 Ni 2.56, 2 Ga 2.60